1.
Here is a geometry-optimized Sm8HoEr6 structure from Alexandria. Energies are from PBE-GGA.

Cell: 9.3710 9.3710 6.4797 Å, 90.00 90.00 120.00°
Last column: nearest neighbours and their distance in Å.
Positions (direct):
Sm1 0.0364 0.2848 0.3316  3 Sm 3.27-3.33, 4 Er 3.29-3.54, 1 Ho 3.31
Sm2 0.2483 0.9636 0.3316  3 Sm 3.27-3.33, 4 Er 3.29-3.54, 1 Ho 3.31
Sm3 0.2848 0.2483 0.6684  3 Sm 3.27-3.33, 4 Er 3.29-3.54, 1 Ho 3.31
Sm4 0.3333 0.6667 0.3759  3 Sm 3.27
Sm5 0.6667 0.3333 0.6241  3 Sm 3.27
Sm6 0.7152 0.7517 0.3316  3 Sm 3.27-3.33, 4 Er 3.29-3.54, 1 Ho 3.31
Sm7 0.7517 0.0364 0.6684  3 Sm 3.27-3.33, 4 Er 3.29-3.54, 1 Ho 3.31
Sm8 0.9636 0.7152 0.6684  3 Sm 3.27-3.33, 4 Er 3.29-3.54, 1 Ho 3.31
Ho1 0.0000 0.0000 0.0000  6 Sm 3.31
Er1 0.0942 0.4398 0.8389  1 Er 3.28, 4 Sm 3.29-3.54
Er2 0.3456 0.9058 0.8389  1 Er 3.28, 4 Sm 3.29-3.54
Er3 0.4398 0.3456 0.1611  1 Er 3.28, 4 Sm 3.29-3.54
Er4 0.5602 0.6544 0.8389  1 Er 3.28, 4 Sm 3.29-3.54
Er5 0.6544 0.0942 0.1611  1 Er 3.28, 4 Sm 3.29-3.54
Er6 0.9058 0.5602 0.1611  1 Er 3.28, 4 Sm 3.29-3.54

Properties
- DOS(E_F): 1.55 states/eV per atom
- Size of the total moment: 0.0 μB/cell
- Formation energy: 0.181 eV/atom
- Volume: 492.78 Å³/cell

---

2.
Here is a geometry-optimized Sm2Ho3Er2 structure from Alexandria. Energies are from PBE-GGA.

Cell: 8.8775 8.8775 8.4883 Å, 118.55 118.55 22.70°
Last column: nearest neighbours and their distance in Å.
Positions (direct):
Sm1 0.0664 0.0664 0.4117  3 Sm 3.31-3.49, 5 Ho 3.42-3.56, 2 Er 3.58
Sm2 0.9336 0.9336 0.5883  3 Sm 3.31-3.49, 5 Ho 3.42-3.56, 2 Er 3.58
Ho1 0.2884 0.2884 0.7006  5 Ho 3.30-3.49, 3 Sm 3.42-3.56, 3 Er 3.57
Ho2 0.5000 0.5000 0.0000  4 Ho 3.30-3.49, 2 Er 3.52, 4 Sm 3.56
Ho3 0.7116 0.7116 0.2994  5 Ho 3.30-3.49, 3 Sm 3.42-3.56, 3 Er 3.57
Er1 0.3506 0.3506 0.1682  4 Er 3.49-3.70, 4 Ho 3.52-3.57, 4 Sm 3.58-3.72
Er2 0.6494 0.6494 0.8318  4 Er 3.49-3.70, 4 Ho 3.52-3.57, 4 Sm 3.58-3.72

Properties
- DOS(E_F): 1.51 states/eV per atom
- Size of the total moment: 0.0 μB/cell
- Formation energy: 0.121 eV/atom
- Volume: 225.37 Å³/cell

---

3.
Here is a geometry-optimized SmHo6Er4 structure from Alexandria. Energies are from PBE-GGA.

Cell: 8.4546 8.4546 8.4546 Å, 127.25 127.25 77.84°
Last column: nearest neighbours and their distance in Å.
Positions (direct):
Sm1 0.0000 0.0000 0.0000  8 Ho 3.53-3.76, 4 Er 3.73
Ho1 0.0000 0.5000 0.5000  4 Er 3.00
Ho2 0.0536 0.5745 0.0000  3 Er 3.20-3.55, 1 Sm 3.53
Ho3 0.4255 0.4255 0.4790  3 Er 3.20-3.55, 1 Sm 3.53
Ho4 0.5000 0.0000 0.5000  4 Er 3.00
Ho5 0.5745 0.0536 0.0000  3 Er 3.20-3.55, 1 Sm 3.53
Ho6 0.9464 0.9464 0.5210  3 Er 3.20-3.55, 1 Sm 3.53
Er1 0.2586 0.2586 0.6749  3 Ho 3.00-3.20, 2 Er 3.20
Er2 0.4163 0.7414 0.0000  3 Ho 3.00-3.20, 2 Er 3.20
Er3 0.5837 0.5837 0.3251  3 Ho 3.00-3.20, 2 Er 3.20
Er4 0.7414 0.4163 0.0000  3 Ho 3.00-3.20, 2 Er 3.20

Properties
- DOS(E_F): 1.36 states/eV per atom
- Size of the total moment: 0.0 μB/cell
- Formation energy: 0.445 eV/atom
- Volume: 371.15 Å³/cell

---

4.
Here is a geometry-optimized SmHo4Er4 structure from Alexandria. Energies are from PBE-GGA.

Cell: 9.0733 9.0733 10.7489 Å, 93.20 93.20 139.79°
Last column: nearest neighbours and their distance in Å.
Positions (direct):
Sm1 0.2256 0.2256 0.2810  6 Er 3.19-3.57, 2 Ho 3.32
Sm2 0.7744 0.7744 0.7190  6 Er 3.19-3.57, 2 Ho 3.32
Ho1 0.1852 0.8148 0.0000  6 Ho 3.41-3.82, 4 Er 3.54-3.59
Ho2 0.3570 0.6414 0.8344  5 Er 3.30-3.62, 1 Sm 3.32, 4 Ho 3.41-3.60
Ho3 0.3570 0.6430 0.5000  6 Er 3.33-3.43, 2 Ho 3.60, 2 Sm 3.62
Ho4 0.3586 0.6430 0.1656  5 Er 3.30-3.62, 1 Sm 3.32, 4 Ho 3.41-3.60
Ho5 0.6414 0.3570 0.8344  5 Er 3.30-3.62, 1 Sm 3.32, 4 Ho 3.41-3.60
Ho6 0.6430 0.3570 0.5000  6 Er 3.33-3.43, 2 Ho 3.60, 2 Sm 3.62
Ho7 0.6430 0.3586 0.1656  5 Er 3.30-3.62, 1 Sm 3.32, 4 Ho 3.41-3.60
Ho8 0.8148 0.1852 0.0000  6 Ho 3.41-3.82, 4 Er 3.54-3.59
Er1 0.1822 0.8104 0.3336  5 Ho 3.40-3.59, 2 Er 3.54-3.57, 1 Sm 3.56
Er2 0.1896 0.8178 0.6664  5 Ho 3.40-3.59, 2 Er 3.54-3.57, 1 Sm 3.56
Er3 0.2244 0.2244 0.6134  3 Sm 3.19-3.57, 2 Ho 3.33, 4 Er 3.40-3.58
Er4 0.2266 0.2266 0.9464  3 Er 3.22-3.58, 4 Ho 3.30-3.54, 2 Sm 3.42-3.60
Er5 0.7734 0.7734 0.0536  3 Er 3.22-3.58, 4 Ho 3.30-3.54, 2 Sm 3.42-3.60
Er6 0.7756 0.7756 0.3866  3 Sm 3.19-3.57, 2 Ho 3.33, 4 Er 3.40-3.58
Er7 0.8104 0.1822 0.3336  5 Ho 3.40-3.59, 2 Er 3.54-3.57, 1 Sm 3.56
Er8 0.8178 0.1896 0.6664  5 Ho 3.40-3.59, 2 Er 3.54-3.57, 1 Sm 3.56

Properties
- DOS(E_F): 1.29 states/eV per atom
- Size of the total moment: 0.0 μB/cell
- Formation energy: 0.087 eV/atom
- Volume: 563.73 Å³/cell

---

5.
Here is a geometry-optimized Sm8Ho3Er3 structure from Alexandria. Energies are from PBE-GGA.

Cell: 9.6769 9.6769 9.6769 Å, 146.15 111.95 78.21°
Last column: nearest neighbours and their distance in Å.
Positions (direct):
Sm1 0.0580 0.3964 0.6616  4 Sm 3.11-3.35
Sm2 0.0661 0.2239 0.8422  6 Sm 3.25-3.54, 2 Ho 3.60
Sm3 0.2652 0.6036 0.6616  4 Sm 3.11-3.35
Sm4 0.3816 0.2239 0.1578  6 Sm 3.25-3.54, 2 Ho 3.60
Sm5 0.6184 0.7761 0.8422  6 Sm 3.25-3.54, 2 Ho 3.60
Sm6 0.7348 0.3964 0.3384  4 Sm 3.11-3.35
Sm7 0.9339 0.7761 0.1578  6 Sm 3.25-3.54, 2 Ho 3.60
Sm8 0.9420 0.6036 0.3384  4 Sm 3.11-3.35
Ho1 0.3198 0.8198 0.5000  2 Er 3.46, 8 Sm 3.60-3.76
Ho2 0.5000 0.5000 0.0000  4 Er 3.55, 4 Ho 3.91
Ho3 0.6802 0.1802 0.5000  2 Er 3.46, 8 Sm 3.60-3.76
Er1 0.0000 0.0000 0.0000  2 Er 3.26
Er2 0.3008 0.0000 0.3008  1 Er 3.26, 4 Ho 3.46-3.55, 4 Sm 3.55
Er3 0.6992 0.0000 0.6992  1 Er 3.26, 4 Ho 3.46-3.55, 4 Sm 3.55

Properties
- DOS(E_F): 1.35 states/eV per atom
- Size of the total moment: 0.0 μB/cell
- Formation energy: 0.111 eV/atom
- Volume: 458.17 Å³/cell

---

6.
Here is a geometry-optimized Sm15HoEr4 structure from Alexandria. Energies are from PBE-GGA.

Cell: 5.0984 5.0984 25.4096 Å, 90.00 90.00 90.00°
Last column: nearest neighbours and their distance in Å.
Positions (direct):
Sm1 0.0000 0.0000 0.0000  8 Sm 3.60, 4 Ho 3.61
Sm2 0.0000 0.0000 0.1999  8 Sm 3.60, 4 Er 3.61
Sm3 0.0000 0.0000 0.3999  8 Sm 3.60, 4 Er 3.61
Sm4 0.0000 0.0000 0.6001  8 Sm 3.60, 4 Er 3.61
Sm5 0.0000 0.0000 0.8001  8 Sm 3.60, 4 Er 3.61
Sm6 0.0000 0.5000 0.1000  8 Sm 3.60-3.61, 2 Er 3.60, 2 Ho 3.60
Sm7 0.0000 0.5000 0.2998  4 Er 3.60, 8 Sm 3.60-3.61
Sm8 0.0000 0.5000 0.5000  4 Er 3.60, 8 Sm 3.60-3.61
Sm9 0.0000 0.5000 0.7002  4 Er 3.60, 8 Sm 3.60-3.61
Sm10 0.0000 0.5000 0.9000  8 Sm 3.60-3.61, 2 Er 3.60, 2 Ho 3.60
Sm11 0.5000 0.0000 0.1000  8 Sm 3.60-3.61, 2 Er 3.60, 2 Ho 3.60
Sm12 0.5000 0.0000 0.2998  4 Er 3.60, 8 Sm 3.60-3.61
Sm13 0.5000 0.0000 0.5000  4 Er 3.60, 8 Sm 3.60-3.61
Sm14 0.5000 0.0000 0.7002  4 Er 3.60, 8 Sm 3.60-3.61
Sm15 0.5000 0.0000 0.9000  8 Sm 3.60-3.61, 2 Er 3.60, 2 Ho 3.60
Ho1 0.5000 0.5000 0.0000  12 Sm 3.60-3.61
Er1 0.5000 0.5000 0.1999  12 Sm 3.60-3.61
Er2 0.5000 0.5000 0.3999  12 Sm 3.60-3.61
Er3 0.5000 0.5000 0.6001  12 Sm 3.60-3.61
Er4 0.5000 0.5000 0.8001  12 Sm 3.60-3.61

Properties
- DOS(E_F): 1.34 states/eV per atom
- Size of the total moment: 0.0 μB/cell
- Formation energy: 0.015 eV/atom
- Volume: 660.48 Å³/cell

---

7.
Here is a geometry-optimized SmHo6Er8 structure from Alexandria. Energies are from PBE-GGA.

Cell: 9.3443 9.3443 6.4356 Å, 90.00 90.00 120.00°
Last column: nearest neighbours and their distance in Å.
Positions (direct):
Sm1 0.0000 0.0000 0.0000  6 Ho 3.57
Ho1 0.0972 0.6811 0.0897  1 Ho 3.15, 3 Er 3.20-3.42
Ho2 0.3189 0.4161 0.0897  1 Ho 3.15, 3 Er 3.20-3.42
Ho3 0.4161 0.0972 0.9103  1 Ho 3.15, 3 Er 3.20-3.42
Ho4 0.5839 0.9028 0.0897  1 Ho 3.15, 3 Er 3.20-3.42
Ho5 0.6811 0.5839 0.9103  1 Ho 3.15, 3 Er 3.20-3.42
Ho6 0.9028 0.3189 0.9103  1 Ho 3.15, 3 Er 3.20-3.42
Er1 0.0247 0.3379 0.4056  4 Ho 3.20-3.56, 5 Er 3.28-3.50
Er2 0.3133 0.9753 0.4056  4 Ho 3.20-3.56, 5 Er 3.28-3.50
Er3 0.3333 0.6667 0.6644  6 Er 3.35-3.42, 3 Ho 3.56
Er4 0.3379 0.3133 0.5944  4 Ho 3.20-3.56, 5 Er 3.28-3.50
Er5 0.6621 0.6867 0.4056  4 Ho 3.20-3.56, 5 Er 3.28-3.50
Er6 0.6667 0.3333 0.3356  6 Er 3.35-3.42, 3 Ho 3.56
Er7 0.6867 0.0247 0.5944  4 Ho 3.20-3.56, 5 Er 3.28-3.50
Er8 0.9753 0.6621 0.5944  4 Ho 3.20-3.56, 5 Er 3.28-3.50

Properties
- DOS(E_F): 1.42 states/eV per atom
- Size of the total moment: 0.0 μB/cell
- Formation energy: 0.235 eV/atom
- Volume: 486.64 Å³/cell

---

8.
Here is a geometry-optimized Sm4HoEr structure from Alexandria. Energies are from PBE-GGA.

Cell: 3.5881 6.2140 9.4959 Å, 77.33 79.22 73.46°
Last column: nearest neighbours and their distance in Å.
Positions (direct):
Sm1 0.1656 0.0014 0.1667  3 Er 3.58-3.60, 7 Sm 3.58-3.60, 2 Ho 3.59
Sm2 0.1657 0.5008 0.6672  7 Sm 3.58-3.60, 3 Ho 3.58-3.60, 2 Er 3.58-3.59
Sm3 0.8343 0.4992 0.3328  7 Sm 3.58-3.60, 3 Ho 3.58-3.60, 2 Er 3.58-3.59
Sm4 0.8344 0.9986 0.8333  3 Er 3.58-3.60, 7 Sm 3.58-3.60, 2 Ho 3.59
Ho1 0.5000 0.0000 0.5000  10 Sm 3.58-3.60, 2 Ho 3.59
Er1 0.5000 0.5000 0.0000  10 Sm 3.58-3.60, 2 Er 3.59

Properties
- DOS(E_F): 1.41 states/eV per atom
- Size of the total moment: 0.0 μB/cell
- Formation energy: 0.017 eV/atom
- Volume: 196.25 Å³/cell